Ba2CdCu3F12 after structural relaxation. Source: Alexandria via LeMat-Bulk, functional PBE-GGA.

As for the space group: R-3m. The volume is 266.7 Å³/cell. The calculation puts the magnetization at 3.01 μB/cell. The calculation puts the uncorrected formation energy at -41.97 eV/f.u.

a = 7.251 Å, b = 7.251 Å, c = 7.251 Å
α = 59.54°, β = 59.54°, γ = 59.54°
Site moments in Bohr magnetons follow the coordinates.
Fractional coordinates of all 18 atoms:
Cu: 0.000 0.500 0.000  0.73
F: 0.285 0.870 0.285  0.10
Cd: 0.000 0.000 0.000  0.00
F: 0.870 0.285 0.285  0.10
F: 0.134 0.596 0.134  0.03
Cu: 0.500 0.000 0.000  0.73
F: 0.596 0.134 0.134  0.03
Cu: 0.000 0.000 0.500  0.73
F: 0.285 0.285 0.870  0.10
F: 0.134 0.134 0.596  0.03
F: 0.715 0.130 0.715  0.10
F: 0.404 0.866 0.866  0.03
Ba: 0.615 0.615 0.615  0.00
F: 0.866 0.404 0.866  0.03
F: 0.130 0.715 0.715  0.10
F: 0.866 0.866 0.404  0.03
Ba: 0.385 0.385 0.385  0.00
F: 0.715 0.715 0.130  0.10